Computed, not measured: crystalline PrEuZn2 at its relaxed geometry at the GGA-PBEsol level of DFT.

Calculated values
- V: 24.23 Å³ per atom
- Calculated formation energy: -270.3 meV per atom
- Raw total energy: -19.99 eV per cell

a = 5.156 Å, b = 5.156 Å, c = 5.156 Å
α = 60.00°, β = 60.00°, γ = 60.00°
Site moments in Bohr magnetons follow the coordinates.
Sites, in units of the cell vectors:
1 Eu 0.500 0.500 0.500  6.81
2 Zn 0.750 0.750 0.750  0.01
3 Zn 0.250 0.250 0.250  0.01
4 Pr 0.000 0.000 0.000  0.08

Computed, not measured: crystalline EuSi2Pt2 at its relaxed geometry at the GGA-PBEsol level of DFT.

Calculated values
- V: 17.33 Å³ per atom
- Raw total energy: -40.94 eV per cell
- Formation energy (no corrections): -0.99 eV/atom

a = 4.171 Å, b = 4.171 Å, c = 5.790 Å
α = 111.11°, β = 111.11°, γ = 90.00°
Site moments in Bohr magnetons follow the coordinates.
Sites, in units of the cell vectors:
1 Si 0.621 0.621 0.242  0.00
2 Pt 0.750 0.250 0.500  -0.02
3 Eu 0.000 0.000 0.000  -6.67
4 Si 0.379 0.379 0.758  0.00
5 Pt 0.250 0.750 0.500  -0.02

Computed, not measured: crystalline SrEuPt2 at its relaxed geometry at the GGA-PBEsol level of DFT.

Calculated values
- V: 22.59 Å³ per atom
- Calculated formation energy: -732.1 meV per atom
- Raw total energy: -29.26 eV per cell

a = 5.037 Å, b = 5.037 Å, c = 5.037 Å
α = 60.00°, β = 60.00°, γ = 60.00°
Site moments in Bohr magnetons follow the coordinates.
Sites, in units of the cell vectors:
1 Pt 0.250 0.250 0.250  -0.04
2 Eu 0.500 0.500 0.500  6.67
3 Pt 0.750 0.750 0.750  -0.04
4 Sr 0.000 0.000 0.000  0.01

Computed, not measured: crystalline RbEuS2 at its relaxed geometry at the GGA-PBEsol level of DFT.

Calculated values
- V: 27.93 Å³ per atom
- Raw total energy: -26.73 eV per cell
- Formation energy (no corrections): -1.59 eV/atom

a = 4.143 Å, b = 4.143 Å, c = 7.888 Å
α = 74.78°, β = 74.78°, γ = 60.00°
Site moments in Bohr magnetons follow the coordinates.
Sites, in units of the cell vectors:
1 S 0.232 0.232 0.305  -0.16
2 S 0.768 0.768 0.695  -0.16
3 Eu 0.500 0.500 0.500  6.41
4 Rb 0.000 0.000 0.000  -0.01

Computed, not measured: crystalline EuSi2Rh2 at its relaxed geometry at the GGA-PBEsol level of DFT.

Calculated values
- V: 16.59 Å³ per atom
- Raw total energy: -43.62 eV per cell
- Formation energy (no corrections): -1.06 eV/atom

a = 4.053 Å, b = 4.053 Å, c = 5.806 Å
α = 110.43°, β = 110.43°, γ = 90.00°
Site moments in Bohr magnetons follow the coordinates.
Sites, in units of the cell vectors:
1 Rh 0.750 0.250 0.500  0.00
2 Si 0.373 0.373 0.747  -0.01
3 Si 0.627 0.627 0.253  -0.01
4 Rh 0.250 0.750 0.500  0.00
5 Eu 0.000 0.000 0.000  6.67

Computed, not measured: crystalline SmEuRh2 at its relaxed geometry at the GGA-PBEsol level of DFT.

Calculated values
- V: 20.25 Å³ per atom
- Calculated formation energy: -493.3 meV per atom
- Raw total energy: -33.91 eV per cell

a = 4.856 Å, b = 4.856 Å, c = 4.856 Å
α = 60.00°, β = 60.00°, γ = 60.00°
Site moments in Bohr magnetons follow the coordinates.
Sites, in units of the cell vectors:
1 Sm 0.000 0.000 0.000  0.03
2 Eu 0.500 0.500 0.500  6.63
3 Rh 0.250 0.250 0.250  -0.08
4 Rh 0.750 0.750 0.750  -0.08

Computed, not measured: crystalline TbEuRh2 at its relaxed geometry at the GGA-PBEsol level of DFT.

Calculated values
- V: 19.73 Å³ per atom
- Calculated formation energy: -549.3 meV per atom
- Raw total energy: -34.05 eV per cell

a = 4.814 Å, b = 4.814 Å, c = 4.814 Å
α = 60.00°, β = 60.00°, γ = 60.00°
Site moments in Bohr magnetons follow the coordinates.
Sites, in units of the cell vectors:
1 Tb 0.000 0.000 0.000  0.03
2 Rh 0.750 0.750 0.750  -0.07
3 Rh 0.250 0.250 0.250  -0.07
4 Eu 0.500 0.500 0.500  6.62

Computed, not measured: crystalline Eu2ZnRh at its relaxed geometry at the GGA-PBEsol level of DFT.

Calculated values
- V: 21.84 Å³ per atom
- Calculated formation energy: -304.6 meV per atom
- Raw total energy: -32.07 eV per cell

a = 4.981 Å, b = 4.981 Å, c = 4.981 Å
α = 60.00°, β = 60.00°, γ = 60.00°
Site moments in Bohr magnetons follow the coordinates.
Sites, in units of the cell vectors:
1 Eu 0.750 0.750 0.750  6.76
2 Eu 0.250 0.250 0.250  6.76
3 Rh 0.000 0.000 0.000  -0.19
4 Zn 0.500 0.500 0.500  0.04

Computed, not measured: crystalline EuSb12Ru4 at its relaxed geometry at the GGA-PBEsol level of DFT.

Calculated values
- V: 23.40 Å³ per atom
- Raw total energy: -111.64 eV per cell
- Formation energy (no corrections): -0.34 eV/atom

a = 8.025 Å, b = 8.025 Å, c = 8.025 Å
α = 109.47°, β = 109.47°, γ = 109.47°
Site moments in Bohr magnetons follow the coordinates.
Sites, in units of the cell vectors:
1 Sb 0.341 0.841 0.182  -0.01
2 Ru 0.500 0.500 0.500  -0.06
3 Sb 0.159 0.818 0.659  -0.01
4 Sb 0.841 0.500 0.659  -0.01
5 Ru 0.000 0.000 0.500  -0.06
6 Ru 0.000 0.500 0.000  -0.06
7 Eu 0.000 0.000 0.000  6.76
8 Sb 0.341 0.159 0.500  -0.01
9 Sb 0.818 0.659 0.159  -0.01
10 Sb 0.659 0.841 0.500  -0.01
11 Sb 0.659 0.159 0.818  -0.01
12 Sb 0.841 0.182 0.341  -0.01
13 Sb 0.500 0.659 0.841  -0.01
14 Sb 0.500 0.341 0.159  -0.01
15 Sb 0.159 0.500 0.341  -0.01
16 Sb 0.182 0.341 0.841  -0.01
17 Ru 0.500 0.000 0.000  -0.06

Computed, not measured: crystalline EuSi2Ru2 at its relaxed geometry at the GGA-PBEsol level of DFT.

Calculated values
- V: 16.86 Å³ per atom
- Raw total energy: -46.31 eV per cell
- Formation energy (no corrections): -0.78 eV/atom

a = 4.166 Å, b = 4.166 Å, c = 5.682 Å
α = 111.51°, β = 111.51°, γ = 90.00°
Site moments in Bohr magnetons follow the coordinates.
Sites, in units of the cell vectors:
1 Eu 0.000 0.000 0.000  6.66
2 Si 0.365 0.365 0.729  0.00
3 Ru 0.750 0.250 0.500  -0.01
4 Ru 0.250 0.750 0.500  -0.01
5 Si 0.635 0.635 0.271  0.00

Computed, not measured: crystalline EuS at its relaxed geometry at the GGA-PBEsol level of DFT.

Calculated values
- V: 23.62 Å³ per atom
- Raw total energy: -19.42 eV per cell
- Formation energy (no corrections): -2.24 eV/atom

a = 4.058 Å, b = 4.058 Å, c = 4.058 Å
α = 60.00°, β = 60.00°, γ = 60.00°
Site moments in Bohr magnetons follow the coordinates.
Sites, in units of the cell vectors:
1 Eu 0.000 0.000 0.000  6.77
2 S 0.500 0.500 0.500  -0.08

Computed, not measured: crystalline Eu2SeS at its relaxed geometry at the GGA-PBEsol level of DFT.

Calculated values
- V: 25.16 Å³ per atom
- Raw total energy: -37.95 eV per cell
- Formation energy (no corrections): -2.15 eV/atom

a = 4.141 Å, b = 4.141 Å, c = 7.184 Å
α = 73.25°, β = 73.25°, γ = 60.00°
Site moments in Bohr magnetons follow the coordinates.
Sites, in units of the cell vectors:
1 Se 0.000 0.000 0.000  -0.07
2 S 0.500 0.500 0.500  -0.08
3 Eu 0.246 0.246 0.261  6.79
4 Eu 0.754 0.754 0.739  6.79

Computed, not measured: crystalline Eu2SiS4 at its relaxed geometry at the GGA-PBEsol level of DFT.

Calculated values
- V: 22.17 Å³ per atom
- Raw total energy: -110.88 eV per cell
- Formation energy (no corrections): -1.58 eV/atom

a = 6.437 Å, b = 6.419 Å, c = 7.902 Å
α = 90.00°, β = 108.06°, γ = 90.00°
Site moments in Bohr magnetons follow the coordinates.
Sites, in units of the cell vectors:
1 S 0.585 0.250 0.876  -0.02
2 S 0.997 0.505 0.760  -0.03
3 Eu 0.733 0.750 0.932  6.85
4 S 0.997 0.995 0.760  -0.03
5 S 0.603 0.250 0.424  -0.02
6 Eu 0.267 0.250 0.068  6.85
7 S 0.003 0.495 0.240  -0.03
8 Si 0.224 0.750 0.300  0.01
9 Eu 0.222 0.250 0.553  6.81
10 S 0.003 0.005 0.240  -0.03
11 S 0.397 0.750 0.576  -0.02
12 S 0.415 0.750 0.124  -0.02
13 Eu 0.778 0.750 0.447  6.81
14 Si 0.776 0.250 0.700  0.01